! BeInP2 | Alexandria via LeMat-Bulk | PBE | relaxed; values from VASP
&SYSTEM
  ibrav = 0, nat = 4, ntyp = 3
/
ATOMIC_SPECIES
Be 9.01 Be.upf
In 114.82 In.upf
P 30.97 P.upf
CELL_PARAMETERS angstrom
3.503 -1.692 0.000
3.503 1.692 0.000
-0.472 0.000 6.422
ATOMIC_POSITIONS crystal
Be 0.000 0.000 0.000
In 0.220 0.220 0.492
P 0.539 0.539 0.782
P 0.705 0.705 0.091
! ΔH_f (0 K): 71 meV per atom
! calculated density: 4.1 Mg/m³
! total magnetic moment: 0.000 μB/cell
! DOS(E_F): 1.3 states/eV per cell
! DFT total energy: -0.3124 Ry per atom